[1]
VASP calculation (PBE) on Nd6C2Cl3O after structural relaxation.

E_tot (eV per formula unit): -74.41
Formation energy from raw total energies (eV/f.u.): -16.86
DOS(E_F) (states/eV per atom): 0.16

Geometry as CIF:
```
data_Nd6C2Cl3O
_cell_length_a 6.4804
_cell_length_b 11.2268
_cell_length_c 7.4203
_cell_angle_alpha 90.00
_cell_angle_beta 106.96
_cell_angle_gamma 90.00
_space_group_name_H-M_alt 'C 1 2/m 1'
_space_group_IT_number 12
loop_
_space_group_symop_operation_xyz
'x,y,z'
'-x,-y,-z'
'-x,y,-z'
'x,-y,z'
'x+1/2,y+1/2,z'
'-x+1/2,-y+1/2,-z'
'-x+1/2,y+1/2,-z'
'x+1/2,-y+1/2,z'
loop_
_atom_site_label
_atom_site_type_symbol
_atom_site_fract_x
_atom_site_fract_y
_atom_site_fract_z
_atom_site_occupancy
Nd1 Nd 0.2296 0.0000 0.1904 1
Nd2 Nd 0.2301 0.3332 0.1897 1
C1 C 0.0000 0.1663 0.0000 1
Cl1 Cl 0.0000 0.0000 0.5000 1
Cl2 Cl 0.0000 0.3288 0.5000 1
O1 O 0.0000 0.5000 0.0000 1
```



[2]
VASP calculation (PBE) on Nd6Os2CCl3 after structural relaxation.

E_tot (eV per formula unit): -75.48
Formation energy from raw total energies (eV/f.u.): -9.65
DOS(E_F) (states/eV per atom): 0.76

Geometry as CIF:
```
data_Nd6Os2CCl3
_cell_length_a 6.9920
_cell_length_b 12.1381
_cell_length_c 7.7586
_cell_angle_alpha 90.00
_cell_angle_beta 107.19
_cell_angle_gamma 90.00
_space_group_name_H-M_alt 'C 1 2/m 1'
_space_group_IT_number 12
loop_
_space_group_symop_operation_xyz
'x,y,z'
'-x,-y,-z'
'-x,y,-z'
'x,-y,z'
'x+1/2,y+1/2,z'
'-x+1/2,-y+1/2,-z'
'-x+1/2,y+1/2,-z'
'x+1/2,-y+1/2,z'
loop_
_atom_site_label
_atom_site_type_symbol
_atom_site_fract_x
_atom_site_fract_y
_atom_site_fract_z
_atom_site_occupancy
Nd1 Nd 0.2192 0.1559 0.1969 1
Nd2 Nd 0.2472 0.5000 0.1952 1
Os1 Os 0.0000 0.3316 0.0000 1
C1 C 0.0000 0.0000 0.0000 1
Cl1 Cl 0.0000 0.1583 0.5000 1
Cl2 Cl 0.0000 0.5000 0.5000 1
```



- DOS(E_F) of number 2 (Nd6Os2CCl3)?
  0.76 states/eV per atom



- Among the records above, which one has the lowest DOS(E_F)?
  Nd6C2Cl3O



- The highest formation energy from raw total energies belongs to which entry?
  Nd6Os2CCl3



- DOS(E_F) of number 2 (Nd6Os2CCl3)?
  0.76 states/eV per atom